# 1
{"formula": "LiB", "functional": "GGA-PBE", "state": "relaxed", "lattice": [[3.942, 0.000, 0.000], [0.000, 12.509, 0.000], [0.000, 0.000, 2.324]], "species": ["Li", "Li", "Li", "Li", "Li", "Li", "B", "B", "B", "B", "B", "B"], "frac_coords": [[0.000, 0.203, 0.500], [0.000, 0.797, 0.500], [0.500, 0.703, 0.500], [0.500, 0.297, 0.500], [0.000, 0.000, 0.500], [0.500, 0.500, 0.500], [0.000, 0.627, 0.000], [0.000, 0.373, 0.000], [0.500, 0.127, 0.000], [0.500, 0.873, 0.000], [0.500, 0.000, 0.000], [0.000, 0.500, 0.000]], "rho_g_cm3": 1.5, "de_polymorph_ev_per_atom": 0.466, "ef_kj_per_mol_atoms": 29.6, "crystal_system": "orthorhombic"}


# 2
{"formula": "LiB9", "functional": "GGA-PBE", "state": "relaxed", "lattice": [[2.772, 1.699, -4.737], [-4.318, -3.770, -0.394], [-3.248, 3.777, -0.546]], "species": ["Li", "Li", "B", "B", "B", "B", "B", "B", "B", "B", "B", "B", "B", "B", "B", "B", "B", "B", "B", "B"], "frac_coords": [[0.000, 0.000, 0.573], [0.000, 0.000, 0.073], [0.372, 0.000, 0.314], [0.628, 0.628, 0.314], [0.000, 0.372, 0.314], [0.628, 0.000, 0.814], [0.372, 0.372, 0.814], [0.000, 0.628, 0.814], [0.527, 0.831, 0.474], [0.304, 0.473, 0.474], [0.169, 0.696, 0.474], [0.696, 0.169, 0.474], [0.831, 0.527, 0.474], [0.473, 0.304, 0.474], [0.473, 0.169, 0.974], [0.696, 0.527, 0.974], [0.831, 0.304, 0.974], [0.304, 0.831, 0.974], [0.169, 0.473, 0.974], [0.527, 0.696, 0.974]], "rho_g_cm3": 2.4, "ef_kj_per_mol_atoms": 3.3, "crystal_system": "hexagonal"}


# 3
{"formula": "LiB", "functional": "GGA-PBE", "state": "relaxed", "lattice": [[3.959, 0.000, 0.000], [0.000, 10.855, 0.000], [0.000, 0.000, 6.069]], "species": ["Li", "Li", "Li", "Li", "Li", "Li", "Li", "Li", "Li", "Li", "Li", "Li", "Li", "Li", "Li", "Li", "B", "B", "B", "B", "B", "B", "B", "B", "B", "B", "B", "B", "B", "B", "B", "B"], "frac_coords": [[0.000, 0.000, 0.665], [0.000, 0.000, 0.335], [0.250, 0.750, 0.585], [0.250, 0.750, 0.915], [0.000, 0.500, 0.165], [0.000, 0.500, 0.835], [0.250, 0.250, 0.085], [0.250, 0.250, 0.415], [0.500, 0.000, 0.165], [0.500, 0.000, 0.835], [0.750, 0.750, 0.085], [0.750, 0.750, 0.415], [0.500, 0.500, 0.665], [0.500, 0.500, 0.335], [0.750, 0.250, 0.585], [0.750, 0.250, 0.915], [0.000, 0.078, 0.000], [0.000, 0.922, 0.000], [0.250, 0.672, 0.250], [0.250, 0.828, 0.250], [0.000, 0.578, 0.500], [0.000, 0.422, 0.500], [0.250, 0.172, 0.750], [0.250, 0.328, 0.750], [0.500, 0.078, 0.500], [0.500, 0.922, 0.500], [0.750, 0.672, 0.750], [0.750, 0.828, 0.750], [0.500, 0.578, 0.000], [0.500, 0.422, 0.000], [0.750, 0.172, 0.250], [0.750, 0.328, 0.250]], "rho_g_cm3": 1.8, "de_polymorph_ev_per_atom": 0.365, "ef_kj_per_mol_atoms": 19.8, "crystal_system": "orthorhombic"}


# 4
{"formula": "LiB", "functional": "GGA-PBE", "state": "relaxed", "lattice": [[4.511, 0.000, 0.000], [0.000, 4.511, 0.000], [0.000, 0.000, 4.511]], "species": ["Li", "Li", "Li", "Li", "B", "B", "B", "B"], "frac_coords": [[0.000, 0.000, 0.000], [0.000, 0.500, 0.500], [0.500, 0.000, 0.500], [0.500, 0.500, 0.000], [0.500, 0.500, 0.500], [0.500, 0.000, 0.000], [0.000, 0.500, 0.000], [0.000, 0.000, 0.500]], "rho_g_cm3": 1.3, "de_polymorph_ev_per_atom": 1.564, "ef_kj_per_mol_atoms": 135.4, "crystal_system": "cubic"}


# 5
{"formula": "LiB", "functional": "GGA-PBE", "state": "relaxed", "lattice": [[1.881, 0.000, 0.000], [0.000, 2.321, 0.000], [0.000, 0.000, 3.666]], "species": ["Li", "B"], "frac_coords": [[0.500, 0.500, 0.500], [0.000, 0.000, 0.000]], "rho_g_cm3": 1.8, "de_polymorph_ev_per_atom": 0.745, "ef_kj_per_mol_atoms": 56.5, "crystal_system": "orthorhombic"}


# 6
{"formula": "LiB", "functional": "GGA-PBE", "state": "relaxed", "lattice": [[3.854, 0.000, 0.000], [-1.927, 3.338, 0.000], [0.000, 0.000, 4.268]], "species": ["Li", "Li", "B", "B"], "frac_coords": [[0.333, 0.667, 0.250], [0.667, 0.333, 0.750], [0.333, 0.667, 0.750], [0.667, 0.333, 0.250]], "rho_g_cm3": 1.1, "de_polymorph_ev_per_atom": 1.760, "ef_kj_per_mol_atoms": 154.4, "crystal_system": "hexagonal"}


# 7
{"formula": "LiB3", "functional": "GGA-PBE", "state": "relaxed", "lattice": [[3.150, 0.000, 0.000], [-1.575, 3.661, 0.000], [0.000, 0.000, 4.636]], "species": ["Li", "Li", "B", "B", "B", "B", "B", "B"], "frac_coords": [[0.575, 0.150, 0.250], [0.425, 0.850, 0.750], [0.717, 0.433, 0.750], [0.283, 0.567, 0.250], [0.123, 0.247, 0.559], [0.877, 0.753, 0.441], [0.123, 0.247, 0.941], [0.877, 0.753, 0.059]], "rho_g_cm3": 2.4, "de_polymorph_ev_per_atom": 0.413, "ef_kj_per_mol_atoms": 17.1, "crystal_system": "orthorhombic"}


# 8
{"formula": "LiB", "functional": "GGA-PBE", "state": "relaxed", "lattice": [[-1.800, -7.996, -1.137], [7.302, 2.179, 3.226], [-1.210, -0.130, 2.827]], "species": ["Li", "Li", "Li", "Li", "Li", "Li", "B", "B", "B", "B", "B", "B"], "frac_coords": [[0.780, 0.560, 0.250], [0.220, 0.780, 0.750], [0.440, 0.220, 0.250], [0.220, 0.440, 0.750], [0.780, 0.220, 0.250], [0.560, 0.780, 0.750], [0.489, 0.979, 0.250], [0.511, 0.489, 0.750], [0.021, 0.511, 0.250], [0.511, 0.021, 0.750], [0.489, 0.511, 0.250], [0.979, 0.489, 0.750]], "rho_g_cm3": 1.0, "de_polymorph_ev_per_atom": 0.091, "ef_kj_per_mol_atoms": -6.7, "crystal_system": "hexagonal"}


# 9
{"formula": "LiB", "functional": "GGA-PBE", "state": "relaxed", "lattice": [[-0.740, 1.590, 4.758], [-2.423, -4.325, 1.069], [4.393, -2.118, 1.391]], "species": ["Li", "Li", "Li", "Li", "B", "B", "B", "B"], "frac_coords": [[0.250, 0.250, 0.250], [0.250, 0.750, 0.750], [0.750, 0.250, 0.750], [0.750, 0.750, 0.250], [0.000, 0.000, 0.000], [0.000, 0.500, 0.500], [0.500, 0.000, 0.500], [0.500, 0.500, 0.000]], "rho_g_cm3": 0.9, "de_polymorph_ev_per_atom": 2.081, "ef_kj_per_mol_atoms": 185.3, "crystal_system": "cubic"}


# 10
{"formula": "LiB", "functional": "GGA-PBE", "state": "relaxed", "lattice": [[-0.933, 8.045, 2.318], [-7.855, -0.034, -3.044], [-1.059, -0.913, 2.742]], "species": ["Li", "Li", "Li", "Li", "Li", "Li", "Li", "Li", "B", "B", "B", "B", "B", "B", "B", "B"], "frac_coords": [[0.246, 0.500, 0.000], [0.754, 0.500, 0.000], [0.500, 0.754, 0.000], [0.500, 0.246, 0.000], [0.746, 0.000, 0.500], [0.254, 0.000, 0.500], [0.000, 0.254, 0.500], [0.000, 0.746, 0.500], [0.763, 0.763, 0.000], [0.763, 0.237, 0.000], [0.237, 0.763, 0.000], [0.237, 0.237, 0.000], [0.263, 0.263, 0.500], [0.263, 0.737, 0.500], [0.737, 0.263, 0.500], [0.737, 0.737, 0.500]], "rho_g_cm3": 1.1, "de_polymorph_ev_per_atom": 0.066, "ef_kj_per_mol_atoms": -9.1, "crystal_system": "tetragonal"}


# 11
{"formula": "LiB", "functional": "GGA-PBE", "state": "relaxed", "lattice": [[-1.867, 3.852, 1.357], [-0.490, -1.930, 4.025], [3.241, 1.560, -2.688]], "species": ["B", "B", "Li", "Li"], "frac_coords": [[0.974, 0.750, 0.224], [0.026, 0.250, 0.776], [0.500, 0.000, 0.500], [0.000, 0.500, 0.500]], "rho_g_cm3": 1.1, "de_polymorph_ev_per_atom": 0.072, "ef_kj_per_mol_atoms": -8.5, "crystal_system": "orthorhombic"}


# 12
{"formula": "LiB", "functional": "GGA-PBE", "state": "relaxed", "lattice": [[4.005, 0.000, 0.000], [-2.003, 3.469, 0.000], [0.000, 0.000, 3.120]], "species": ["Li", "Li", "B", "B"], "frac_coords": [[0.333, 0.667, 0.250], [0.667, 0.333, 0.750], [0.000, 0.000, 0.000], [0.000, 0.000, 0.500]], "rho_g_cm3": 1.4, "de_polymorph_ev_per_atom": 0.000, "ef_kj_per_mol_atoms": -15.5, "crystal_system": "hexagonal"}


# 13
{"formula": "LiB", "functional": "GGA-PBE", "state": "relaxed", "lattice": [[4.516, 0.000, 0.000], [0.000, 4.516, 0.000], [0.000, 0.000, 4.577]], "species": ["Li", "Li", "Li", "Li", "B", "B", "B", "B"], "frac_coords": [[0.173, 0.827, 0.000], [0.673, 0.673, 0.500], [0.327, 0.327, 0.500], [0.827, 0.173, 0.000], [0.376, 0.376, 0.000], [0.876, 0.124, 0.500], [0.124, 0.876, 0.500], [0.624, 0.624, 0.000]], "rho_g_cm3": 1.3, "de_polymorph_ev_per_atom": 0.995, "ef_kj_per_mol_atoms": 80.6, "crystal_system": "tetragonal"}


# 14
{"formula": "LiB", "functional": "GGA-PBE", "state": "relaxed", "lattice": [[9.728, 0.000, 0.000], [0.000, 3.886, 0.000], [0.000, 0.000, 5.504]], "species": ["Li", "Li", "Li", "Li", "Li", "Li", "Li", "Li", "B", "B", "B", "B", "B", "B", "B", "B"], "frac_coords": [[0.335, 0.250, 0.266], [0.835, 0.250, 0.234], [0.665, 0.750, 0.734], [0.165, 0.750, 0.766], [0.837, 0.250, 0.760], [0.337, 0.250, 0.740], [0.163, 0.750, 0.240], [0.663, 0.750, 0.260], [0.134, 0.250, 0.002], [0.634, 0.250, 0.498], [0.866, 0.750, 0.998], [0.366, 0.750, 0.502], [0.000, 0.000, 0.000], [0.500, 0.500, 0.500], [0.000, 0.500, 0.000], [0.500, 0.000, 0.500]], "rho_g_cm3": 1.1, "de_polymorph_ev_per_atom": 0.224, "ef_kj_per_mol_atoms": 6.1, "crystal_system": "orthorhombic"}


# 15
{"formula": "LiB3", "functional": "GGA-PBE", "state": "relaxed", "lattice": [[-4.113, 1.136, 4.191], [3.470, -2.609, 4.114], [1.816, 3.661, 0.790]], "species": ["Li", "Li", "Li", "Li", "B", "B", "B", "B", "B", "B", "B", "B", "B", "B", "B", "B"], "frac_coords": [[0.682, 0.182, 0.500], [0.318, 0.818, 0.500], [0.182, 0.318, 0.500], [0.818, 0.682, 0.500], [0.500, 0.500, 0.706], [0.000, 0.000, 0.706], [0.500, 0.500, 0.294], [0.000, 0.000, 0.294], [0.634, 0.663, 0.000], [0.366, 0.337, 0.000], [0.134, 0.837, 0.000], [0.866, 0.163, 0.000], [0.337, 0.634, 0.000], [0.663, 0.366, 0.000], [0.163, 0.134, 0.000], [0.837, 0.866, 0.000]], "rho_g_cm3": 1.8, "de_polymorph_ev_per_atom": 0.000, "ef_kj_per_mol_atoms": -22.8, "crystal_system": "tetragonal"}


# 16
{"formula": "LiB3", "functional": "GGA-PBE", "state": "relaxed", "lattice": [[4.380, 0.000, -2.432], [-1.350, 4.167, -2.432], [0.473, 0.651, 6.014]], "species": ["Li", "Li", "Li", "Li", "B", "B", "B", "B", "B", "B", "B", "B", "B", "B", "B", "B"], "frac_coords": [[0.788, 0.788, 0.575], [0.212, 0.212, 0.425], [0.750, 0.250, 0.500], [0.250, 0.750, 0.500], [0.000, 0.754, 0.000], [0.000, 0.246, 0.000], [0.754, 0.000, 0.000], [0.246, 0.000, 0.000], [0.587, 0.587, 0.812], [0.226, 0.226, 0.812], [0.587, 0.226, 0.812], [0.226, 0.587, 0.812], [0.774, 0.413, 0.188], [0.413, 0.774, 0.188], [0.774, 0.774, 0.188], [0.413, 0.413, 0.188]], "rho_g_cm3": 2.1, "de_polymorph_ev_per_atom": 0.779, "ef_kj_per_mol_atoms": 52.4, "crystal_system": "tetragonal"}


# 17
{"formula": "Li3B", "functional": "GGA-PBE", "state": "relaxed", "lattice": [[4.004, -0.109, 0.000], [0.121, 4.004, 0.000], [-2.063, -1.947, 2.828]], "species": ["Li", "Li", "Li", "B"], "frac_coords": [[0.750, 0.250, 0.500], [0.250, 0.750, 0.500], [0.500, 0.500, 0.000], [0.000, 0.000, 0.000]], "rho_g_cm3": 1.2, "ef_kj_per_mol_atoms": 36.3, "crystal_system": "tetragonal"}


# 18
{"formula": "LiB3", "functional": "GGA-PBE", "state": "relaxed", "lattice": [[-4.022, -0.670, 0.606], [0.903, -2.841, 2.847], [-0.048, 3.079, 3.088]], "species": ["Li", "Li", "B", "B", "B", "B", "B", "B"], "frac_coords": [[0.500, 0.500, 0.240], [0.500, 0.500, 0.760], [0.704, 0.000, 0.000], [0.296, 0.000, 0.000], [0.000, 0.296, 0.000], [0.000, 0.704, 0.000], [0.000, 0.000, 0.298], [0.000, 0.000, 0.702]], "rho_g_cm3": 1.8, "de_polymorph_ev_per_atom": 0.125, "ef_kj_per_mol_atoms": -10.7, "crystal_system": "tetragonal"}


# 19
{"formula": "LiB", "functional": "GGA-PBE", "state": "relaxed", "lattice": [[3.116, 0.000, 0.000], [0.000, 6.977, 0.000], [0.000, 0.000, 4.007]], "species": ["Li", "Li", "Li", "Li", "B", "B", "B", "B"], "frac_coords": [[0.250, 0.667, 0.000], [0.750, 0.333, 0.000], [0.250, 0.165, 0.500], [0.750, 0.835, 0.500], [0.500, 0.000, 0.000], [0.000, 0.000, 0.000], [0.250, 0.499, 0.500], [0.750, 0.501, 0.500]], "rho_g_cm3": 1.4, "de_polymorph_ev_per_atom": 0.006, "ef_kj_per_mol_atoms": -14.9, "crystal_system": "orthorhombic"}


# 20
{"formula": "LiB", "functional": "GGA-PBE", "state": "relaxed", "lattice": [[5.985, 0.071, 0.043], [5.174, 3.009, 0.043], [5.174, 1.428, 2.649]], "species": ["B", "B", "Li", "Li"], "frac_coords": [[0.667, 0.667, 0.667], [0.333, 0.333, 0.333], [0.917, 0.917, 0.917], [0.083, 0.083, 0.083]], "rho_g_cm3": 1.3, "de_polymorph_ev_per_atom": 0.014, "ef_kj_per_mol_atoms": -14.1, "crystal_system": "trigonal"}


# 21
{"formula": "LiB", "functional": "GGA-PBE", "state": "relaxed", "lattice": [[4.644, 0.000, 0.000], [0.000, 1.689, 0.000], [0.000, 0.000, 14.094]], "species": ["Li", "Li", "Li", "Li", "Li", "Li", "B", "B", "B", "B", "B", "B"], "frac_coords": [[0.000, 0.002, 0.667], [0.500, 0.998, 0.833], [0.500, 0.998, 0.167], [0.000, 0.002, 0.333], [0.000, 0.997, 0.000], [0.500, 0.003, 0.500], [0.000, 0.495, 0.833], [0.500, 0.505, 0.667], [0.500, 0.505, 0.333], [0.000, 0.495, 0.167], [0.000, 0.507, 0.500], [0.500, 0.493, 0.000]], "rho_g_cm3": 1.6, "de_polymorph_ev_per_atom": 0.778, "ef_kj_per_mol_atoms": 59.6, "crystal_system": "orthorhombic"}


# 22
{"formula": "LiB", "functional": "GGA-PBE", "state": "relaxed", "lattice": [[3.424, 0.000, 0.000], [1.712, 2.966, 0.000], [1.712, 0.989, 2.796]], "species": ["Li", "Li", "B", "B"], "frac_coords": [[0.500, 0.500, 0.500], [0.750, 0.750, 0.750], [0.250, 0.250, 0.250], [0.000, 0.000, 0.000]], "rho_g_cm3": 2.1, "de_polymorph_ev_per_atom": 0.377, "ef_kj_per_mol_atoms": 20.9, "crystal_system": "cubic"}